# 1
A plane-wave DFT calculation with GGA-PBE was carried out for Tb6Te5Pd after structural relaxation. Values from VASP.

ΔE_f (raw) = -1.261 eV per atom
Spin magnetization = 0.0 μB per formula unit
Space-group type = No. 12
Raw total energy = -5.318 eV per atom

Structure (Quantum ESPRESSO input):
```
&SYSTEM
  ibrav = 0, nat = 12, ntyp = 3
/
ATOMIC_SPECIES
Te 127.60 Te.upf
Tb 158.93 Tb.upf
Pd 106.42 Pd.upf
CELL_PARAMETERS angstrom
-1.401 -1.859 7.187
5.079 -3.919 -3.990
3.864 6.370 1.066
ATOMIC_POSITIONS crystal
Te 0.820 0.180 0.500
Te 0.664 0.336 0.000
Te 0.500 0.500 0.500
Te 0.336 0.664 0.000
Te 0.180 0.820 0.500
Tb 0.381 0.074 0.228
Tb 0.926 0.619 0.772
Tb 0.226 0.226 0.757
Tb 0.774 0.774 0.243
Tb 0.074 0.381 0.228
Tb 0.619 0.926 0.772
Pd 0.000 0.000 0.000
```

# 2
A plane-wave DFT calculation with GGA-PBE was carried out for Zn7AgPd2 after structural relaxation. Values from VASP.

Spin magnetization = 0.0 μB per formula unit
Space-group type = No. 156
Formation energy from the elements = -1.45 eV per formula unit
Raw total energy = -2.361 eV per atom

Structure (Quantum ESPRESSO input):
```
&SYSTEM
  ibrav = 0, nat = 10, ntyp = 3
/
ATOMIC_SPECIES
Zn 65.41 Zn.upf
Ag 107.87 Ag.upf
Pd 106.42 Pd.upf
CELL_PARAMETERS angstrom
-2.752 3.048 -1.198
1.198 -3.016 -2.787
-8.143 -6.123 3.125
ATOMIC_POSITIONS crystal
Zn 0.667 0.333 0.591
Zn 0.667 0.333 0.845
Zn 0.000 0.000 0.744
Zn 0.000 0.000 0.274
Zn 0.333 0.667 0.443
Zn 0.333 0.667 0.939
Zn 0.667 0.333 0.117
Ag 0.000 0.000 0.019
Pd 0.333 0.667 0.690
Pd 0.667 0.333 0.354
```

# 3
A plane-wave DFT calculation with GGA-PBE was carried out for Zr3BeP2 after structural relaxation. Values from VASP.

Spin magnetization = 0.0 μB per formula unit
Space-group type = No. 62
Formation energy from the elements = -6.52 eV per formula unit
Raw total energy = -7.785 eV per atom

Structure (Quantum ESPRESSO input):
```
&SYSTEM
  ibrav = 0, nat = 24, ntyp = 3
/
ATOMIC_SPECIES
Zr 91.22 Zr.upf
Be 9.01 Be.upf
P 30.97 P.upf
CELL_PARAMETERS angstrom
-1.502 0.519 -3.278
5.344 -7.959 -3.708
-7.770 -6.404 2.547
ATOMIC_POSITIONS crystal
Zr 0.250 0.375 0.053
Zr 0.750 0.625 0.947
Zr 0.750 0.875 0.447
Zr 0.250 0.125 0.553
Zr 0.250 0.705 0.206
Zr 0.750 0.295 0.794
Zr 0.750 0.205 0.294
Zr 0.250 0.795 0.706
Zr 0.250 0.436 0.383
Zr 0.750 0.564 0.617
Zr 0.750 0.936 0.117
Zr 0.250 0.064 0.883
Be 0.250 0.124 0.130
Be 0.750 0.876 0.870
Be 0.750 0.624 0.370
Be 0.250 0.376 0.630
P 0.250 0.684 0.468
P 0.750 0.316 0.532
P 0.750 0.184 0.032
P 0.250 0.816 0.968
P 0.250 0.006 0.304
P 0.750 0.994 0.696
P 0.750 0.506 0.196
P 0.250 0.494 0.804
```

# 4
A plane-wave DFT calculation with GGA-PBE was carried out for CdSiRu after structural relaxation. Values from VASP.

ΔE_f (raw) = 0.052 eV per atom
Spin magnetization = 0.0 μB per formula unit
Space-group type = No. 156
Raw total energy = -5.153 eV per atom

Structure (Quantum ESPRESSO input):
```
&SYSTEM
  ibrav = 0, nat = 3, ntyp = 3
/
ATOMIC_SPECIES
Cd 112.41 Cd.upf
Ru 101.07 Ru.upf
Si 28.09 Si.upf
CELL_PARAMETERS angstrom
2.971 0.000 0.000
-1.485 2.573 0.000
0.000 0.000 6.567
ATOMIC_POSITIONS crystal
Cd 0.000 0.000 0.008
Ru 0.667 0.333 0.370
Si 0.333 0.667 0.622
```